1.
Entry from the Alexandria database: an optimized crystal structure of SmPuBr2 (PBE).

Unit cell a=3.7639 b=3.7639 c=10.3897 alpha=79.56 beta=79.56 gamma=60.00
Closest atoms and distances in Å follow each position.
Fractional coordinates of all 4 atoms:
Br 0.0969 0.0969 0.7092  1 Sm 2.95, 3 Pu 3.04
Br 0.9031 0.9031 0.2908  1 Sm 2.95, 3 Pu 3.04
Sm 0.0000 0.0000 0.0000  2 Br 2.95
Pu 0.5000 0.5000 0.5000  6 Br 3.04

The calculation puts the raw formation energy at -881 meV per atom. Its volume is 124.65 Å³ per cell. The space group is R-3m (166).

***

2.
Entry from the Alexandria database: an optimized crystal structure of Sm2PuBr (PBE).

Unit cell a=3.4943 b=3.4943 c=9.5114 alpha=90.00 beta=90.00 gamma=90.00
Closest atoms and distances in Å follow each position.
Fractional coordinates of all 4 atoms:
Sm 0.0000 0.0000 0.2422  4 Br 3.38, 4 Pu 3.48, 4 Sm 3.49
Sm 0.0000 0.0000 0.7578  4 Br 3.38, 4 Pu 3.48, 4 Sm 3.49
Br 0.5000 0.5000 0.0000  8 Sm 3.38, 4 Br 3.49
Pu 0.5000 0.5000 0.5000  8 Sm 3.48, 4 Pu 3.49

As for the energy relative to the lowest polymorph listed for this composition: 0.0959 eV/atom. The calculation puts the raw formation energy at -365 meV per atom. Its volume is 116.13 Å³ per cell. The space group is P4/mmm (123).

***

3.
Entry from the Alexandria database: an optimized crystal structure of SmPuBr6 (PBE).

Unit cell a=7.1544 b=7.1538 c=7.8493 alpha=62.88 beta=62.88 gamma=60.00
Closest atoms and distances in Å follow each position.
Fractional coordinates of all 8 atoms:
Br 0.7524 0.0930 0.7470  1 Sm 2.88, 1 Pu 2.89
Br 0.0929 0.4077 0.7468  1 Sm 2.88, 1 Pu 2.89
Br 0.9071 0.5923 0.2532  1 Sm 2.88, 1 Pu 2.89
Br 0.4075 0.7527 0.7468  1 Sm 2.88, 1 Pu 2.89
Br 0.2476 0.9070 0.2530  1 Sm 2.88, 1 Pu 2.89
Br 0.5925 0.2473 0.2532  1 Sm 2.88, 1 Pu 2.89
Pu 0.0000 0.0000 0.0000  6 Br 2.89
Sm 0.5000 0.5000 0.5000  6 Br 2.88

As for the energy relative to the lowest polymorph listed for this composition: 0.0162 eV/atom. The calculation puts the raw formation energy at -1644 meV per atom. Its volume is 295.81 Å³ per cell. The space group is R-3 (148).